[1]
# Tb2Ho2Tl7 PBE optimized geometry
# * magnetization: 0.0 μB per cell
# * energy: -36.1 eV per formula unit
# * calculated density: 10.736 Mg/m³
data_Tb2Ho2Tl7
_chemical_formula_sum 'Tb2 Ho2 Tl7'
_cell_length_a 7.936
_cell_length_b 7.936
_cell_length_c 5.192
_cell_angle_alpha 97.06
_cell_angle_beta 97.06
_cell_angle_gamma 85.71
_space_group_name_H-M_alt 'P 1'
_space_group_IT_number 1
_space_group_name_Hall 'P 1'
loop_
_atom_site_label
_atom_site_fract_x
_atom_site_fract_y
_atom_site_fract_z
Tb1 0.206 0.794 0.000
Tb2 0.794 0.206 0.000
Ho1 0.264 0.264 0.205
Ho2 0.736 0.736 0.795
Tl1 0.000 0.000 0.500
Tl2 0.031 0.397 0.718
Tl3 0.397 0.031 0.718
Tl4 0.435 0.435 0.733
Tl5 0.565 0.565 0.267
Tl6 0.603 0.969 0.282
Tl7 0.969 0.603 0.282



[2]
# Tb2HoTl PBE optimized geometry
# * magnetization: 0.5 μB per cell
# * energy: -16.6 eV per formula unit
# * calculated density: 9.265 Mg/m³
data_Tb2HoTl
_chemical_formula_sum 'Tb2 Ho1 Tl1'
_cell_length_a 10.949
_cell_length_b 10.949
_cell_length_c 10.949
_cell_angle_alpha 19.12
_cell_angle_beta 19.12
_cell_angle_gamma 19.12
_space_group_name_H-M_alt 'P 1'
_space_group_IT_number 1
_space_group_name_Hall 'P 1'
loop_
_atom_site_label
_atom_site_fract_x
_atom_site_fract_y
_atom_site_fract_z
Tb1 0.000 0.000 0.000
Tb2 0.176 0.176 0.176
Ho1 0.755 0.755 0.755
Tl1 0.588 0.588 0.588



[3]
# TbHo3Tl PBE optimized geometry
# * magnetization: 0.0 μB per cell
# * energy: -21.3 eV per formula unit
# * calculated density: 9.795 Mg/m³
data_TbHo3Tl
_chemical_formula_sum 'Tb2 Ho6 Tl2'
_cell_length_a 12.881
_cell_length_b 12.881
_cell_length_c 4.785
_cell_angle_alpha 90.00
_cell_angle_beta 90.00
_cell_angle_gamma 158.50
_space_group_name_H-M_alt 'P 1'
_space_group_IT_number 1
_space_group_name_Hall 'P 1'
loop_
_atom_site_label
_atom_site_fract_x
_atom_site_fract_y
_atom_site_fract_z
Tb1 0.149 0.851 0.750
Tb2 0.851 0.149 0.250
Ho1 0.048 0.952 0.250
Ho2 0.251 0.749 0.250
Ho3 0.448 0.552 0.250
Ho4 0.552 0.448 0.750
Ho5 0.749 0.251 0.750
Ho6 0.952 0.048 0.750
Tl1 0.348 0.652 0.750
Tl2 0.652 0.348 0.250



[4]
# TbHo5Tl3 PBE optimized geometry
# * magnetization: 1.5 μB per cell
# * energy: -36.9 eV per formula unit
# * calculated density: 10.461 Mg/m³
data_TbHo5Tl3
_chemical_formula_sum 'Tb2 Ho10 Tl6'
_cell_length_a 9.344
_cell_length_b 9.344
_cell_length_c 6.703
_cell_angle_alpha 90.00
_cell_angle_beta 90.00
_cell_angle_gamma 120.00
_space_group_name_H-M_alt 'P 1'
_space_group_IT_number 1
_space_group_name_Hall 'P 1'
loop_
_atom_site_label
_atom_site_fract_x
_atom_site_fract_y
_atom_site_fract_z
Tb1 0.000 0.000 0.000
Tb2 0.000 0.000 0.500
Ho1 0.000 0.333 0.250
Ho2 0.000 0.667 0.750
Ho3 0.333 0.000 0.250
Ho4 0.333 0.333 0.750
Ho5 0.333 0.667 0.000
Ho6 0.333 0.667 0.500
Ho7 0.667 0.000 0.750
Ho8 0.667 0.333 0.000
Ho9 0.667 0.333 0.500
Ho10 0.667 0.667 0.250
Tl1 0.000 0.335 0.750
Tl2 0.000 0.665 0.250
Tl3 0.335 0.000 0.750
Tl4 0.335 0.335 0.250
Tl5 0.665 0.000 0.250
Tl6 0.665 0.665 0.750



[5]
# Tb4Ho3Tl PBE optimized geometry
# * magnetization: 0.0 μB per cell
# * energy: -35.1 eV per formula unit
# * calculated density: 9.133 Mg/m³
data_Tb4Ho3Tl
_chemical_formula_sum 'Tb8 Ho6 Tl2'
_cell_length_a 11.176
_cell_length_b 7.036
_cell_length_c 6.173
_cell_angle_alpha 90.00
_cell_angle_beta 90.00
_cell_angle_gamma 90.00
_space_group_name_H-M_alt 'P 1'
_space_group_IT_number 1
_space_group_name_Hall 'P 1'
loop_
_atom_site_label
_atom_site_fract_x
_atom_site_fract_y
_atom_site_fract_z
Tb1 0.000 0.128 0.000
Tb2 0.000 0.869 0.464
Tb3 0.236 0.872 0.823
Tb4 0.264 0.128 0.323
Tb5 0.500 0.131 0.964
Tb6 0.500 0.872 0.500
Tb7 0.736 0.128 0.323
Tb8 0.764 0.872 0.823
Ho1 0.000 0.369 0.471
Ho2 0.243 0.384 0.804
Ho3 0.257 0.616 0.304
Ho4 0.500 0.631 0.971
Ho5 0.743 0.616 0.304
Ho6 0.757 0.384 0.804
Tl1 0.000 0.618 0.982
Tl2 0.500 0.382 0.482



[6]
# Tb3Ho6Tl PBE optimized geometry
# * magnetization: 0.0 μB per cell
# * energy: -43.6 eV per formula unit
# * calculated density: 8.994 Mg/m³
data_Tb3Ho6Tl
_chemical_formula_sum 'Tb6 Ho12 Tl2'
_cell_length_a 12.690
_cell_length_b 3.488
_cell_length_c 14.178
_cell_angle_alpha 90.00
_cell_angle_beta 100.55
_cell_angle_gamma 90.00
_space_group_name_H-M_alt 'P 1'
_space_group_IT_number 1
_space_group_name_Hall 'P 1'
loop_
_atom_site_label
_atom_site_fract_x
_atom_site_fract_y
_atom_site_fract_z
Tb1 0.074 0.250 0.102
Tb2 0.370 0.750 0.497
Tb3 0.423 0.250 0.903
Tb4 0.577 0.750 0.097
Tb5 0.630 0.250 0.503
Tb6 0.926 0.750 0.898
Ho1 0.114 0.250 0.467
Ho2 0.192 0.750 0.924
Ho3 0.226 0.750 0.285
Ho4 0.247 0.750 0.692
Ho5 0.342 0.250 0.117
Ho6 0.489 0.250 0.691
Ho7 0.511 0.750 0.309
Ho8 0.658 0.750 0.883
Ho9 0.753 0.250 0.308
Ho10 0.774 0.250 0.715
Ho11 0.808 0.250 0.076
Ho12 0.886 0.750 0.533
Tl1 0.034 0.250 0.722
Tl2 0.966 0.750 0.278



[7]
# TbHo3Tl4 PBE optimized geometry
# * magnetization: 0.0 μB per cell
# * energy: -29.5 eV per formula unit
# * calculated density: 11.000 Mg/m³
data_TbHo3Tl4
_chemical_formula_sum 'Tb2 Ho6 Tl8'
_cell_length_a 10.030
_cell_length_b 6.697
_cell_length_c 6.613
_cell_angle_alpha 90.00
_cell_angle_beta 90.00
_cell_angle_gamma 90.00
_space_group_name_H-M_alt 'P 1'
_space_group_IT_number 1
_space_group_name_Hall 'P 1'
loop_
_atom_site_label
_atom_site_fract_x
_atom_site_fract_y
_atom_site_fract_z
Tb1 0.000 0.001 0.000
Tb2 0.500 0.999 0.500
Ho1 0.000 0.500 0.999
Ho2 0.250 0.250 0.750
Ho3 0.250 0.750 0.250
Ho4 0.500 0.500 0.499
Ho5 0.750 0.250 0.750
Ho6 0.750 0.750 0.250
Tl1 0.000 0.000 0.500
Tl2 0.000 0.499 0.499
Tl3 0.250 0.250 0.250
Tl4 0.250 0.750 0.750
Tl5 0.500 0.000 0.000
Tl6 0.500 0.501 0.999
Tl7 0.750 0.250 0.250
Tl8 0.750 0.750 0.750



[8]
# Tb12HoTl3 PBE optimized geometry
# * magnetization: 0.0 μB per cell
# * energy: -69.3 eV per formula unit
# * calculated density: 9.414 Mg/m³
data_Tb12HoTl3
_chemical_formula_sum 'Tb12 Ho1 Tl3'
_cell_length_a 4.877
_cell_length_b 4.877
_cell_length_c 19.916
_cell_angle_alpha 90.00
_cell_angle_beta 90.00
_cell_angle_gamma 90.00
_space_group_name_H-M_alt 'P 1'
_space_group_IT_number 1
_space_group_name_Hall 'P 1'
loop_
_atom_site_label
_atom_site_fract_x
_atom_site_fract_y
_atom_site_fract_z
Tb1 0.000 0.000 0.000
Tb2 0.000 0.000 0.246
Tb3 0.000 0.000 0.500
Tb4 0.000 0.000 0.754
Tb5 0.000 0.500 0.123
Tb6 0.000 0.500 0.371
Tb7 0.000 0.500 0.629
Tb8 0.000 0.500 0.877
Tb9 0.500 0.000 0.123
Tb10 0.500 0.000 0.371
Tb11 0.500 0.000 0.629
Tb12 0.500 0.000 0.877
Ho1 0.500 0.500 0.500
Tl1 0.500 0.500 0.000
Tl2 0.500 0.500 0.244
Tl3 0.500 0.500 0.756



> Which of these has the lowest calculated density?

Tb3Ho6Tl



> Among the records above, which one has the highest calculated density?

TbHo3Tl4



> Among the records above, which one has the highest calculated density?

TbHo3Tl4